{
  "formula": "Rb3NaV",
  "functional": "PBE",
  "state": "relaxed",
  "lattice": [[7.0425, 0.0000, 0.0000], [0.0000, 7.0425, 0.0000], [0.0000, 0.0000, 7.0425]],
  "species": ["Rb", "Rb", "Rb", "Na", "V"],
  "fractional_positions": [[0.0000, 0.0000, 0.5000], [0.0000, 0.5000, 0.0000], [0.5000, 0.0000, 0.0000], [0.5000, 0.5000, 0.5000], [0.0000, 0.0000, 0.0000]],
  "e_tot_ev_per_atom": -1.86,
  "m_tot_mub_per_cell": 4.96,
  "formation_energy_kj_per_mol_atoms": 78
}

---

{
  "formula": "Rb2NaV",
  "functional": "PBE",
  "state": "relaxed",
  "lattice": [[-5.1789, 5.1789, 3.7607], [5.1789, -5.1789, 3.7607], [5.1789, 5.1789, -3.7607]],
  "species": ["Rb", "Rb", "Rb", "Rb", "Na", "Na", "V", "V"],
  "fractional_positions": [[0.1078, 0.6250, 0.9828], [0.3750, 0.3578, 0.4828], [0.6422, 0.1250, 0.0172], [0.8750, 0.8922, 0.5172], [0.2500, 0.7500, 0.5000], [0.5000, 0.5000, 0.0000], [0.0000, 0.0000, 0.0000], [0.7500, 0.2500, 0.5000]],
  "e_tot_ev_per_atom": -2.11,
  "m_tot_mub_per_cell": 9.49,
  "formation_energy_kj_per_mol_atoms": 95,
  "de_polymorph_mev_per_atom": 71
}